DFT (PBE) results for Nb2InSiH after structural relaxation.

Summary:
- mass density (Mg/m³) = 7.28
- total DFT energy (no corrections) (eV per atom) = -6.143
- D(E_F) (states/eV/cell) = 3.7

Cell: 4.0868 4.0868 4.5001 Å, 90.00 90.00 90.00°
Space group P4/mmm (No. 123)
Inequivalent atoms, fractional coordinates:
Nb1 0.0000 0.5000 0.0000
In1 0.0000 0.0000 0.5000
Si1 0.5000 0.5000 0.5000
H1 0.5000 0.5000 0.0000